(1)
ZnFeBMo | PBE | optimized geometry

Magnetic moment, μB per atom: 0.5358
ΔE to the lowest computed polymorph, kJ/mol of formula units: 0
VASP energy, eV per atom: -6.292

Lattice parameters (Å, degrees): 5.715 5.715 5.715 90.00 90.00 90.00
Space group F-43m (No. 216)
Unique sites:
Zn 0.000 0.000 0.000 [4 per cell]
Fe 0.250 0.250 0.750 [4 per cell]
B 0.000 0.000 0.500 [4 per cell]
Mo 0.250 0.250 0.250 [4 per cell]


(2)
NaYZrPd | PBE | optimized geometry

Magnetic moment, μB per atom: 0.2433
ΔE to the lowest computed polymorph, kJ/mol of formula units: 0
VASP energy, eV per atom: -5.337

Lattice parameters (Å, degrees): 7.069 7.069 7.069 90.00 90.00 90.00
Space group F-43m (No. 216)
Unique sites:
Na 0.000 0.000 0.000 [4 per cell]
Y 0.250 0.250 0.250 [4 per cell]
Zr 0.250 0.250 0.750 [4 per cell]
Pd 0.000 0.000 0.500 [4 per cell]


(3)
Nd2Cl2O | PBE | optimized geometry

Magnetic moment, μB per atom: 0.0036
VASP energy, eV per atom: -5.864

Lattice parameters (Å, degrees): 6.867 11.260 5.598 90.00 90.00 90.00
Space group Ibam (No. 72)
Unique sites:
Nd 0.197 0.115 0.000 [8 per cell]
Cl 0.131 0.371 0.000 [8 per cell]
O 0.000 0.000 0.250 [4 per cell]